MoAs2IF | PBE with a Hubbard U | relaxed

Calculated values
Its density of states at the Fermi level is 0.807 states/eV/atom. As for the total DFT energy (no corrections): -2.834 eV/atom.

Cell lengths 5.457, 5.457, 5.645 Å; angles 90.00, 90.00, 90.00 degrees
Space group P4/mmm (No. 123)
Asymmetric unit:
Mo (0.000, 0.000, 0.000) x1
As (0.000, 0.500, 0.500) x2
I (0.000, 0.000, 0.500) x1
F (0.500, 0.500, 0.000) x1